Record 1
Here is a geometry-optimized Tl5Sb4Pb structure from the Alexandria database. Energies are from PBE.

Unit cell a=4.1374 b=9.6688 c=10.7138 alpha=125.96 beta=101.13 gamma=90.00
Sites, in units of the cell vectors:
Tl 0.1685 0.2541 0.3370
Tl 0.1685 0.6407 0.3370
Tl 0.8315 0.3593 0.6630
Tl 0.5000 0.5000 0.0000
Tl 0.8315 0.7459 0.6630
Sb 0.6767 0.9495 0.3533
Sb 0.9509 0.1764 0.9017
Sb 0.3233 0.0505 0.6467
Sb 0.0491 0.8236 0.0983
Pb 0.5000 0.0000 0.0000

Properties
The value obtained for the raw formation energy is 0.04 eV per atom.

=====

Record 2
Here is a geometry-optimized ZrFe2Tc structure from the Alexandria database. Energies are from PBE.

Unit cell a=3.0981 b=3.0981 c=6.1573 alpha=90.00 beta=90.00 gamma=89.99
Site moments in Bohr magnetons follow the coordinates.
Sites, in units of the cell vectors:
Fe 0.0000 0.0000 0.0266  1.92
Fe 0.0000 0.0000 0.4734  1.92
Tc 0.5000 0.5000 0.2500  0.23
Zr 0.5000 0.5000 0.7500  -0.40

Properties
The energy relative to the elements comes out at 0.0499 eV/atom. The energy above the lowest structure with this stoichiometry is 41.8 meV per atom.

=====

Record 3
Here is a geometry-optimized NiAg3 structure from the Alexandria database. Energies are from PBE.

Unit cell a=4.0496 b=4.0496 c=4.8677 alpha=114.58 beta=114.58 gamma=90.00
Sites, in units of the cell vectors:
Ni 0.0000 0.0000 0.0000
Ag 0.7500 0.2500 0.5000
Ag 0.2500 0.7500 0.5000
Ag 0.5000 0.5000 0.0000

Properties
The energy relative to the elements comes out at 0.2015 eV/atom.

=====

Record 4
Here is a geometry-optimized PrDy4Er6 structure from the Alexandria database. Energies are from PBE.

Unit cell a=7.6959 b=7.6959 c=8.4029 alpha=117.25 beta=117.25 gamma=90.00
Sites, in units of the cell vectors:
Pr 0.5000 0.5000 0.0000
Dy 0.0915 0.7590 0.8505
Dy 0.9085 0.9085 0.1495
Dy 0.7590 0.0915 0.8505
Dy 0.2410 0.2410 0.1495
Er 0.9391 0.4329 0.3721
Er 0.4329 0.9391 0.3721
Er 0.5671 0.5671 0.6279
Er 0.0000 0.5000 0.0000
Er 0.0609 0.0609 0.6279
Er 0.5000 0.0000 0.0000

Properties
The energy relative to the elements comes out at 0.4540 eV/atom. The energy above the lowest structure with this stoichiometry is 333.3 meV per atom.

=====

Record 5
Here is a geometry-optimized NaCaCl2 structure from the Alexandria database. Energies are from PBE.

Unit cell a=10.9181 b=10.9181 c=10.9181 alpha=21.51 beta=21.51 gamma=21.51
Sites, in units of the cell vectors:
Na 0.0000 0.0000 0.0000
Ca 0.5000 0.5000 0.5000
Cl 0.8782 0.8782 0.8782
Cl 0.1218 0.1218 0.1218

Properties
The energy above the lowest structure with this stoichiometry is 0.0 meV per atom. The value obtained for the raw formation energy is -1.71 eV per atom.

=====

Record 6
Here is a geometry-optimized RbZr2Be structure from the Alexandria database. Energies are from PBE.

Unit cell a=4.9593 b=4.9593 c=4.9593 alpha=60.00 beta=60.00 gamma=60.00
Sites, in units of the cell vectors:
Be 0.0000 0.0000 0.0000
Rb 0.5000 0.5000 0.5000
Zr 0.2500 0.2500 0.2500
Zr 0.7500 0.7500 0.7500

Properties
The energy relative to the elements comes out at 1.2388 eV/atom. The energy above the lowest structure with this stoichiometry is 0.0 meV per atom.

=====

Number 1: DFT total energy -3.158 eV per atom, magnetic moment 0.0 μB/f.u.. Number 2: DFT total energy -8.910 eV per atom, magnetic moment 3.5 μB/f.u.. Number 3: DFT total energy -3.382 eV per atom, magnetic moment 0.0 μB/f.u.. Number 4: DFT total energy -4.143 eV per atom, magnetic moment 0.0 μB/f.u.. Number 5: DFT total energy -3.464 eV per atom, magnetic moment 0.0 μB/f.u.. Number 6: DFT total energy -4.209 eV per atom, magnetic moment 0.0 μB/f.u..